RbGaFe2B: optimized geometry, PBE-GGA.

Structure (POSCAR):
```
RbGaFe2B
1.0
4.8731 0.0000 0.0000
0.0000 4.8731 0.0000
0.0000 0.0000 5.6677
Rb Ga Fe B
1 1 2 1
Direct
0.0000 0.0000 0.0000
0.0000 0.0000 0.5000
0.0000 0.5000 0.0000
0.5000 0.0000 0.0000
0.5000 0.5000 0.5000
```

Spin magnetization, μB/f.u.: 5.37
E_tot, eV per cell: -12.275
DFT formation energy, eV per atom: 3.0645
Space-group type: P4/mmm (123)
DOS(E_F), states/eV/cell: 7.41